# 1
First-principles (GGA-PBE) data for a geometry-optimized Pm2Ga3Ni2 structure, as listed in Alexandria via LeMat-Bulk.

## Properties
crystal system = orthorhombic
calculated density = 7.6 g/cm3

Cell and atoms, written as POSCAR:
```
Pm2Ga3Ni2
1.0
4.089 0.000 -0.975
0.000 6.970 0.000
0.075 0.000 9.377
Ga Ni Pm
6 4 4
Direct
0.437 0.931 0.875
0.223 0.750 0.445
0.563 0.069 0.125
0.777 0.250 0.555
0.563 0.431 0.125
0.437 0.569 0.875
0.693 0.942 0.387
0.307 0.442 0.613
0.307 0.058 0.613
0.693 0.558 0.387
0.059 0.750 0.118
0.162 0.250 0.325
0.838 0.750 0.675
0.941 0.250 0.882
```

---

# 2
First-principles (GGA-PBE) data for a geometry-optimized PmGaNi4 structure, as listed in Alexandria via LeMat-Bulk.

## Properties
crystal system = cubic
calculated density = 8.7 g/cm3

Cell and atoms, written as POSCAR:
```
PmGaNi4
1.0
-0.513 -4.802 1.107
3.547 -3.224 -1.254
2.836 -2.051 3.506
Ni Ga Pm
4 1 1
Direct
0.627 0.627 0.627
0.627 0.120 0.627
0.120 0.627 0.627
0.627 0.627 0.120
0.000 0.000 0.000
0.250 0.250 0.250
```

---

# 3
First-principles (GGA-PBE) data for a geometry-optimized Pm3Ga2Ni4 structure, as listed in Alexandria via LeMat-Bulk.

## Properties
crystal system = monoclinic
calculated density = 7.9 g/cm3

Cell and atoms, written as POSCAR:
```
Pm3Ga2Ni4
1.0
4.157 0.000 0.000
-2.078 5.015 0.284
0.000 -1.722 8.067
Ni Ga Pm
4 2 3
Direct
0.737 0.474 0.085
0.917 0.834 0.365
0.083 0.166 0.635
0.263 0.526 0.915
0.322 0.643 0.217
0.678 0.357 0.783
0.376 0.752 0.621
0.000 0.000 0.000
0.624 0.248 0.379
```

---

| no. | formation energy (kJ per mole of atoms) |
| --- | --- |
| 1 | -51.9 |
| 2 | -34.6 |
| 3 | -49.2 |